(1)
A geometry-optimized Er3CuTe5 structure, computed with PBE.

CIF file:
```
data_Er3CuTe5
_chemical_formula_sum 'Er3 Cu1 Te5'
_space_group_name_H-M_alt 'P 1'
_space_group_IT_number 1
_cell_length_a 8.5244
_cell_length_b 8.5244
_cell_length_c 3.7410
_cell_angle_alpha 90.00
_cell_angle_beta 90.00
_cell_angle_gamma 120.00
loop_
_space_group_symop_operation_xyz
'x,y,z'
loop_
_atom_site_label
_atom_site_type_symbol
_atom_site_fract_x
_atom_site_fract_y
_atom_site_fract_z
Er1 Er 0.0000 0.6355 0.0000
Cu1 Cu 0.0000 0.0000 0.0000
Te1 Te 0.2434 0.0000 0.5000
Te2 Te 0.3333 0.6667 0.5000
Te3 Te 0.6667 0.3333 0.5000
Te4 Te 0.0000 0.2434 0.5000
Er2 Er 0.3645 0.3645 0.0000
Te5 Te 0.7566 0.7566 0.5000
Er3 Er 0.6355 0.0000 0.0000
```

Summary:
Offset from the most stable computed form = 3.83 kcal/mol of atoms
Space group = P-62m (189)

=====

(2)
A geometry-optimized AlZn2 structure, computed with PBE.

CIF file:
```
data_AlZn2
_chemical_formula_sum 'Al2 Zn4'
_space_group_name_H-M_alt 'P 1'
_space_group_IT_number 1
_cell_length_a 5.1175
_cell_length_b 5.1175
_cell_length_c 5.1175
_cell_angle_alpha 60.00
_cell_angle_beta 60.00
_cell_angle_gamma 60.00
loop_
_space_group_symop_operation_xyz
'x,y,z'
loop_
_atom_site_label
_atom_site_type_symbol
_atom_site_fract_x
_atom_site_fract_y
_atom_site_fract_z
Zn1 Zn 0.1250 0.6250 0.6250
Zn2 Zn 0.6250 0.6250 0.1250
Zn3 Zn 0.6250 0.1250 0.6250
Al1 Al 0.2500 0.2500 0.2500
Al2 Al 0.0000 0.0000 0.0000
Zn4 Zn 0.6250 0.6250 0.6250
```

Summary:
Total energy = -11.86 eV for the cell shown
Space group = Fd-3m (227)

=====

(3)
A geometry-optimized YHoGe structure, computed with PBE.

CIF file:
```
data_YHoGe
_chemical_formula_sum 'Y1 Ho1 Ge1'
_space_group_name_H-M_alt 'P 1'
_space_group_IT_number 1
_cell_length_a 4.8683
_cell_length_b 4.8683
_cell_length_c 4.8683
_cell_angle_alpha 60.00
_cell_angle_beta 60.00
_cell_angle_gamma 60.00
loop_
_space_group_symop_operation_xyz
'x,y,z'
loop_
_atom_site_label
_atom_site_type_symbol
_atom_site_fract_x
_atom_site_fract_y
_atom_site_fract_z
Ge1 Ge 0.0000 0.0000 0.0000
Y1 Y 0.7500 0.7500 0.7500
Ho1 Ho 0.2500 0.2500 0.2500
```

Summary:
Offset from the most stable computed form = 0.00 kcal/mol of atoms
Space group = F-43m (216)

=====

(4)
A geometry-optimized HfN structure, computed with PBE.

CIF file:
```
data_HfN
_chemical_formula_sum 'Hf4 N4'
_space_group_name_H-M_alt 'P 1'
_space_group_IT_number 1
_cell_length_a 3.1680
_cell_length_b 3.1680
_cell_length_c 10.6606
_cell_angle_alpha 90.00
_cell_angle_beta 90.00
_cell_angle_gamma 120.00
loop_
_space_group_symop_operation_xyz
'x,y,z'
loop_
_atom_site_label
_atom_site_type_symbol
_atom_site_fract_x
_atom_site_fract_y
_atom_site_fract_z
Hf1 Hf 0.0000 0.0000 0.5000
N1 N 0.3333 0.6667 0.1190
Hf2 Hf 0.6667 0.3333 0.2500
N2 N 0.6667 0.3333 0.6190
N3 N 0.3333 0.6667 0.3810
Hf3 Hf 0.0000 0.0000 0.0000
Hf4 Hf 0.3333 0.6667 0.7500
N4 N 0.6667 0.3333 0.8810
```

Summary:
Total energy = -87.28 eV for the cell shown
Space group = P6_3/mmc (194)

=====

(5)
A geometry-optimized LuSc2Cu4Ge4 structure, computed with PBE.

CIF file:
```
data_LuSc2Cu4Ge4
_chemical_formula_sum 'Lu1 Sc2 Cu4 Ge4'
_space_group_name_H-M_alt 'P 1'
_space_group_IT_number 1
_cell_length_a 7.7622
_cell_length_b 7.7622
_cell_length_c 7.7622
_cell_angle_alpha 149.85
_cell_angle_beta 129.43
_cell_angle_gamma 60.01
loop_
_space_group_symop_operation_xyz
'x,y,z'
loop_
_atom_site_label
_atom_site_type_symbol
_atom_site_fract_x
_atom_site_fract_y
_atom_site_fract_z
Cu1 Cu 0.9785 0.6716 0.3069
Cu2 Cu 0.0215 0.3284 0.6931
Cu3 Cu 0.6354 0.3284 0.3069
Ge1 Ge 0.6898 0.5000 0.1898
Ge2 Ge 0.3102 0.5000 0.8102
Sc1 Sc 0.6266 0.1266 0.5000
Ge3 Ge 0.7804 0.7804 0.0000
Lu1 Lu 0.0000 0.0000 0.0000
Cu4 Cu 0.3646 0.6716 0.6931
Ge4 Ge 0.2196 0.2196 0.0000
Sc2 Sc 0.3734 0.8734 0.5000
```

Summary:
Total energy = -56.95 eV for the cell shown
Space group = Immm (71)

=====

(6)
A geometry-optimized Cs2LiMoCl6 structure, computed with PBE.

CIF file:
```
data_Cs2LiMoCl6
_chemical_formula_sum 'Cs2 Li1 Mo1 Cl6'
_space_group_name_H-M_alt 'P 1'
_space_group_IT_number 1
_cell_length_a 7.2224
_cell_length_b 7.2224
_cell_length_c 7.2224
_cell_angle_alpha 60.00
_cell_angle_beta 60.00
_cell_angle_gamma 60.00
loop_
_space_group_symop_operation_xyz
'x,y,z'
loop_
_atom_site_label
_atom_site_type_symbol
_atom_site_fract_x
_atom_site_fract_y
_atom_site_fract_z
Cs1 Cs 0.2500 0.2500 0.2500
Li1 Li 0.5000 0.5000 0.5000
Cl1 Cl 0.7578 0.2422 0.7578
Cl2 Cl 0.2422 0.7578 0.2422
Cl3 Cl 0.7578 0.7578 0.2422
Cl4 Cl 0.2422 0.7578 0.7578
Mo1 Mo 0.0000 0.0000 0.0000
Cs2 Cs 0.7500 0.7500 0.7500
Cl5 Cl 0.2422 0.2422 0.7578
Cl6 Cl 0.7578 0.2422 0.2422
```

Summary:
Total energy = -40.78 eV for the cell shown
Space group = Fm-3m (225)

=====

(7)
A geometry-optimized ZnTe2Pt2F2 structure, computed with PBE.

CIF file:
```
data_ZnTe2Pt2F2
_chemical_formula_sum 'Zn1 Te2 Pt2 F2'
_space_group_name_H-M_alt 'P 1'
_space_group_IT_number 1
_cell_length_a 3.6825
_cell_length_b 3.6825
_cell_length_c 9.2105
_cell_angle_alpha 90.00
_cell_angle_beta 90.00
_cell_angle_gamma 90.00
loop_
_space_group_symop_operation_xyz
'x,y,z'
loop_
_atom_site_label
_atom_site_type_symbol
_atom_site_fract_x
_atom_site_fract_y
_atom_site_fract_z
Pt1 Pt 0.5000 0.0000 0.6795
Zn1 Zn 0.0000 0.0000 0.0000
Te1 Te 0.5000 0.0000 0.2253
Pt2 Pt 0.0000 0.5000 0.3205
F1 F 0.5000 0.5000 0.5000
Te2 Te 0.0000 0.5000 0.7747
F2 F 0.0000 0.0000 0.5000
```

Summary:
Total energy = -25.63 eV for the cell shown
Space group = P-4m2 (115)

=====

(8)
A geometry-optimized PmPaPO structure, computed with PBE.

CIF file:
```
data_PmPaPO
_chemical_formula_sum 'Pm2 Pa2 P2 O2'
_space_group_name_H-M_alt 'P 1'
_space_group_IT_number 1
_cell_length_a 4.2599
_cell_length_b 7.9310
_cell_length_c 5.5692
_cell_angle_alpha 90.00
_cell_angle_beta 90.00
_cell_angle_gamma 90.00
loop_
_space_group_symop_operation_xyz
'x,y,z'
loop_
_atom_site_label
_atom_site_type_symbol
_atom_site_fract_x
_atom_site_fract_y
_atom_site_fract_z
Pm1 Pm 0.0000 0.6261 0.4388
Pa1 Pa 0.5000 0.2050 0.4383
Pm2 Pm 0.0000 0.3739 0.9388
O1 O 0.0000 0.6801 0.9386
Pa2 Pa 0.5000 0.7950 0.9383
O2 O 0.0000 0.3199 0.4386
P1 P 0.5000 0.8528 0.4382
P2 P 0.5000 0.1472 0.9382
```

Summary:
Offset from the most stable computed form = 0.00 kcal/mol of atoms
Space group = Pmma (51)